[1]
Below is a geometry-optimized CdReOs structure, with properties calculated at the PBEsol level.

Computed properties:
As for the energy of formation: 1.646 eV per formula unit. The spin magnetization comes out at 0.00 Bohr magnetons per cell. Its energy above the most stable polymorph in this dataset is 0.2551 eV per atom.

Lattice parameters (Å, degrees): 2.8638 4.6678 14.3505 90.00 90.00 90.00
Closest atoms and distances in Å follow each position.
Space group Fmm2 (No. 42)
Unique sites:
Cd 0.0000 0.0000 0.0000 (multiplicity 4)  6 Cd 2.74-2.86, 2 Os 2.90, 2 Re 2.92
Re 0.0000 0.0000 0.3224 (multiplicity 4)  2 Os 2.55, 4 Re 2.74
Os 0.0000 0.0000 0.6755 (multiplicity 4)  2 Re 2.55, 4 Os 2.74

---

[2]
Below is a geometry-optimized CdReOs2 structure, with properties calculated at the PBEsol level.

Computed properties:
As for the energy of formation: 2.698 eV per formula unit. The spin magnetization comes out at 0.00 Bohr magnetons per cell.

Lattice parameters (Å, degrees): 2.7676 4.7013 9.6601 90.00 90.00 90.00
Closest atoms and distances in Å follow each position.
Space group Immm (No. 71)
Unique sites:
Cd 0.0000 0.0000 0.0000 (multiplicity 2)  4 Re 2.73, 2 Cd 2.77, 4 Os 3.00
Re 0.0000 0.0000 0.5000 (multiplicity 2)  4 Os 2.57, 4 Cd 2.73, 2 Re 2.77
Os 0.0000 0.5000 0.2245 (multiplicity 4)  2 Re 2.57, 6 Os 2.77

---

[3]
Below is a geometry-optimized CdRe2Os structure, with properties calculated at the PBEsol level.

Computed properties:
As for the energy of formation: 2.776 eV per formula unit. The spin magnetization comes out at 0.00 Bohr magnetons per cell.

Lattice parameters (Å, degrees): 6.2595 6.2595 6.2595 90.00 90.00 90.00
Closest atoms and distances in Å follow each position.
Space group F-43m (No. 216)
Unique sites:
Cd 0.0000 0.0000 0.0000 (multiplicity 4)  4 Re 2.71, 4 Os 2.71
Re 0.0000 0.0000 0.5000 (multiplicity 4)  4 Re 2.71, 4 Os 2.71
Re 0.2500 0.2500 0.7500 (multiplicity 4)  4 Cd 2.71, 4 Re 2.71
Os 0.2500 0.2500 0.2500 (multiplicity 4)  4 Cd 2.71, 4 Re 2.71

---

[4]
Below is a geometry-optimized Cd2OsRh structure, with properties calculated at the PBEsol level.

Computed properties:
As for the energy of formation: 1.408 eV per formula unit. The spin magnetization comes out at 0.00 Bohr magnetons per cell. Its energy above the most stable polymorph in this dataset is 0.0000 eV per atom.

Lattice parameters (Å, degrees): 2.8345 2.8345 27.4803 90.00 90.00 120.00
Closest atoms and distances in Å follow each position.
Space group R-3m (No. 166, hexagonal axes)
Unique sites:
Cd 0.0000 0.0000 0.2483 (multiplicity 6)  3 Rh 2.78, 6 Cd 2.83, 3 Os 2.85
Os 0.0000 0.0000 0.0000 (multiplicity 3)  6 Os 2.83, 6 Cd 2.85
Rh 0.0000 0.0000 0.5000 (multiplicity 3)  6 Cd 2.78, 6 Rh 2.83

---

[5]
Below is a geometry-optimized CdOsRh2 structure, with properties calculated at the PBEsol level.

Computed properties:
As for the energy of formation: -0.093 eV per formula unit. The spin magnetization comes out at 0.00 Bohr magnetons per cell.

Lattice parameters (Å, degrees): 2.7525 2.7525 7.7762 90.00 90.00 90.00
Closest atoms and distances in Å follow each position.
Space group P4/mmm (No. 123)
Unique sites:
Cd 0.0000 0.0000 0.0000 (multiplicity 1)  4 Cd 2.75, 8 Rh 2.87
Os 0.0000 0.0000 0.5000 (multiplicity 1)  8 Rh 2.64, 4 Os 2.75
Rh 0.5000 0.5000 0.2711 (multiplicity 2)  4 Os 2.64, 4 Rh 2.75, 4 Cd 2.87

---

[6]
Below is a geometry-optimized Cd2OsRh structure, with properties calculated at the PBEsol level.

Computed properties:
As for the energy of formation: 2.140 eV per formula unit. The spin magnetization comes out at 2.57 Bohr magnetons per cell. Its energy above the most stable polymorph in this dataset is 0.1830 eV per atom.

Lattice parameters (Å, degrees): 3.9666 3.9666 8.2345 90.00 90.00 90.00
Closest atoms and distances in Å follow each position.
Space group I4/mmm (No. 139)
Unique sites:
Cd 0.0000 0.5000 0.2500 (multiplicity 4)  4 Cd 2.80, 4 Os 2.86, 4 Rh 2.86
Os 0.0000 0.0000 0.0000 (multiplicity 2)  4 Rh 2.80, 8 Cd 2.86
Rh 0.0000 0.0000 0.5000 (multiplicity 2)  4 Os 2.80, 8 Cd 2.86

---

[7]
Below is a geometry-optimized Cd2OsRh structure, with properties calculated at the PBEsol level.

Computed properties:
As for the energy of formation: 1.858 eV per formula unit. The spin magnetization comes out at 0.01 Bohr magnetons per cell. Its energy above the most stable polymorph in this dataset is 0.1126 eV per atom.

Lattice parameters (Å, degrees): 5.6511 8.2875 2.7506 90.00 90.00 90.00
Closest atoms and distances in Å follow each position.
Space group Cmmm (No. 65)
Unique sites:
Cd 0.2500 0.2500 0.0000 (multiplicity 4)  4 Cd 2.75-2.83, 4 Os 2.86, 4 Rh 2.86
Os 0.0000 0.0000 0.5000 (multiplicity 2)  2 Os 2.75, 2 Rh 2.83, 8 Cd 2.86
Rh 0.0000 0.5000 0.5000 (multiplicity 2)  2 Rh 2.75, 2 Os 2.83, 8 Cd 2.86

---

[8]
Below is a geometry-optimized CdOsRh2 structure, with properties calculated at the PBEsol level.

Computed properties:
As for the energy of formation: 1.270 eV per formula unit. The spin magnetization comes out at 0.00 Bohr magnetons per cell.

Lattice parameters (Å, degrees): 2.7398 4.5689 9.7025 90.00 90.00 90.00
Closest atoms and distances in Å follow each position.
Space group Imm2 (No. 44)
Unique sites:
Cd 0.0000 0.0000 0.0000 (multiplicity 2)  4 Rh 2.67, 2 Cd 2.74, 2 Os 2.95
Os 0.0000 0.5000 0.7693 (multiplicity 2)  6 Rh 2.51-2.70, 2 Os 2.74
Rh 0.0000 0.0000 0.4859 (multiplicity 2)  2 Os 2.51, 4 Cd 2.67, 4 Rh 2.70-2.74
Rh 0.0000 0.5000 0.2251 (multiplicity 2)  4 Rh 2.70-2.74, 4 Os 2.70, 2 Cd 3.00

---

[9]
Below is a geometry-optimized CdOs3Rh structure, with properties calculated at the PBEsol level.

Computed properties:
As for the energy of formation: 12.076 eV per formula unit. The spin magnetization comes out at 0.00 Bohr magnetons per cell. Its energy above the most stable polymorph in this dataset is 0.0000 eV per atom.

Lattice parameters (Å, degrees): 4.6234 4.6234 4.6234 90.00 90.00 90.00
Closest atoms and distances in Å follow each position.
Space group Pm-3m (No. 221)
Unique sites:
Cd 0.0000 0.0000 0.0000 (multiplicity 1)  12 Os 3.27
Os 0.0000 0.5000 0.5000 (multiplicity 3)  2 Rh 2.31
Rh 0.5000 0.5000 0.5000 (multiplicity 1)  6 Os 2.31

---

[10]
Below is a geometry-optimized Cd2OsRh structure, with properties calculated at the PBEsol level.

Computed properties:
As for the energy of formation: 1.505 eV per formula unit. The spin magnetization comes out at 0.00 Bohr magnetons per cell. Its energy above the most stable polymorph in this dataset is 0.0241 eV per atom.

Lattice parameters (Å, degrees): 9.2936 2.7790 4.9980 90.00 99.09 90.00
Closest atoms and distances in Å follow each position.
Space group C2/m (No. 12)
Unique sites:
Cd 0.2487 0.0000 0.2469 (multiplicity 4)  6 Cd 2.78-2.88, 3 Os 2.80-2.84, 3 Rh 2.81
Os 0.0000 0.0000 0.5000 (multiplicity 2)  2 Os 2.78, 6 Cd 2.80-2.84, 4 Rh 2.86
Rh 0.0000 0.5000 0.0000 (multiplicity 2)  2 Rh 2.78, 6 Cd 2.81, 4 Os 2.86

---

[11]
Below is a geometry-optimized Cd2OsRh structure, with properties calculated at the PBEsol level.

Computed properties:
As for the energy of formation: 1.785 eV per formula unit. The spin magnetization comes out at 0.01 Bohr magnetons per cell. Its energy above the most stable polymorph in this dataset is 0.0941 eV per atom.

Lattice parameters (Å, degrees): 2.8281 4.8014 9.4786 90.00 90.00 90.00
Closest atoms and distances in Å follow each position.
Space group Immm (No. 71)
Unique sites:
Cd 0.0000 0.0000 0.2448 (multiplicity 4)  2 Rh 2.72, 6 Cd 2.79-2.83, 2 Os 2.80
Os 0.0000 0.5000 0.0000 (multiplicity 2)  4 Rh 2.79, 4 Cd 2.80, 2 Os 2.83
Rh 0.0000 0.5000 0.5000 (multiplicity 2)  4 Cd 2.72, 4 Os 2.79, 2 Rh 2.83

---

[12]
Below is a geometry-optimized CdOsRu2 structure, with properties calculated at the PBEsol level.

Computed properties:
As for the energy of formation: 0.927 eV per formula unit. The spin magnetization comes out at 0.00 Bohr magnetons per cell.

Lattice parameters (Å, degrees): 2.7646 2.7646 7.7362 90.00 90.00 90.00
Closest atoms and distances in Å follow each position.
Space group P4/mmm (No. 123)
Unique sites:
Cd 0.0000 0.0000 0.0000 (multiplicity 1)  4 Cd 2.76, 8 Ru 2.88
Os 0.0000 0.0000 0.5000 (multiplicity 1)  8 Ru 2.63, 4 Os 2.76
Ru 0.5000 0.5000 0.2735 (multiplicity 2)  4 Os 2.63, 4 Ru 2.76, 4 Cd 2.88